[1]
The following is a DFT calculation (PBE) of a relaxed Sr2NpTa3N8 crystal.

Lattice parameters (Å, degrees): 6.4246 6.4246 18.5573 90.00 90.00 120.00
Space group R3m (No. 160, hexagonal axes)
Inequivalent atoms, fractional coordinates:
Sr  0.0000  0.0000  0.0000 (multiplicity 3)
Sr  0.0000  0.0000  0.3478 (multiplicity 3)
Np  0.0000  0.0000  0.8279 (multiplicity 3)
Ta  0.1685  0.3369  0.1821 (multiplicity 9)
N  0.0000  0.0000  0.1269 (multiplicity 3)
N  0.0000  0.0000  0.5691 (multiplicity 3)
N  0.0007  0.5004  0.5691 (multiplicity 9)
N  0.0227  0.5113  0.1171 (multiplicity 9)

Results
Crystal system: trigonal

[2]
The following is a DFT calculation (PBE) of a relaxed Sr3Np3TaN8 crystal.

Lattice parameters (Å, degrees): 6.8519 6.8519 18.0158 90.00 90.00 120.00
Space group R-3m (No. 166, hexagonal axes)
Inequivalent atoms, fractional coordinates:
Sr  0.0000  0.5000  0.0000 (multiplicity 9)
Np  0.0000  0.5000  0.5000 (multiplicity 9)
Ta  0.0000  0.0000  0.5000 (multiplicity 3)
N  0.0000  0.0000  0.2349 (multiplicity 6)
N  0.0193  0.5096  0.2272 (multiplicity 18)

Results
Crystal system: trigonal

[3]
The following is a DFT calculation (PBE) of a relaxed Sr2NpTaN4 crystal.

Lattice parameters (Å, degrees): 6.8072 7.0751 9.7330 90.00 90.00 90.00
Space group Imma (No. 74)
Inequivalent atoms, fractional coordinates:
Sr  0.0000  0.0000  0.0000 (multiplicity 4)
Sr  0.2500  0.2500  0.2500 (multiplicity 4)
Np  0.0000  0.0000  0.5000 (multiplicity 4)
Ta  0.2500  0.2500  0.7500 (multiplicity 4)
N  0.0000  0.0426  0.7367 (multiplicity 8)
N  0.2217  0.2500  0.5268 (multiplicity 8)

Results
Crystal system: orthorhombic

[4]
The following is a DFT calculation (PBE) of a relaxed Sr3Tb2NpN6 crystal.

Lattice parameters (Å, degrees): 6.1515 10.6510 6.3463 90.00 108.90 90.00
Space group C2/m (No. 12)
Inequivalent atoms, fractional coordinates:
Sr  0.0000  0.0000  0.0000 (multiplicity 2)
Sr  0.0000  0.3333  0.0000 (multiplicity 4)
Tb  0.0000  0.1667  0.5000 (multiplicity 4)
Np  0.0000  0.5000  0.5000 (multiplicity 2)
N  0.2206  0.3475  0.7050 (multiplicity 8)
N  0.2359  0.5000  0.2969 (multiplicity 4)

Results
Crystal system: monoclinic

Total energy (computed, eV per atom): -9.474, -9.189, -8.682, -7.637
Formation energy (no corrections) (computed, eV/atom): -1.012, -1.034, -1.000, -1.204